Entry 1:
Compound: KRe3Rh
Source: the Alexandria database
Functional: PBE-GGA
Structure: optimized geometry

The structure in extended XYZ format:
```
5
Lattice="4.426 0.000 0.000 0.000 4.426 0.000 0.000 0.000 4.426" Properties=species:S:1:pos:R:3 pbc="T T T"
K 0.000 0.000 0.000
Re 0.000 0.000 2.213
Re 0.000 2.213 0.000
Re 2.213 0.000 0.000
Rh 2.213 2.213 2.213
```

Values from the calculation:
As for the formation energy: 3.7446 eV/atom. Its energy above the lowest structure with this stoichiometry is 1415 meV/atom. The density of states at the Fermi level comes out at 7.75 states/eV/cell. As for the total DFT energy (no corrections): -27.070 eV for the cell shown.

***

Entry 2:
Compound: KReRh2
Source: the Alexandria database
Functional: PBE-GGA
Structure: optimized geometry

The structure in extended XYZ format:
```
4
Lattice="4.212 -1.361 0.000 4.212 1.361 0.000 -0.430 0.000 7.291" Properties=species:S:1:pos:R:3 pbc="T T T"
K 0.000 0.000 0.000
Re 3.997 0.000 3.645
Rh 1.736 0.000 4.796
Rh 6.258 0.000 2.494
```

Values from the calculation:
As for the formation energy: 0.5457 eV/atom. Its energy above the lowest structure with this stoichiometry is 226 meV/atom. The density of states at the Fermi level comes out at 4.19 states/eV/cell. As for the total DFT energy (no corrections): -26.066 eV for the cell shown.

***

Please write out number 1 again, unchanged.
Compound: KRe3Rh
Source: the Alexandria database
Functional: PBE-GGA
Structure: optimized geometry

The structure in extended XYZ format:
```
5
Lattice="4.426 0.000 0.000 0.000 4.426 0.000 0.000 0.000 4.426" Properties=species:S:1:pos:R:3 pbc="T T T"
K 0.000 0.000 0.000
Re 0.000 0.000 2.213
Re 0.000 2.213 0.000
Re 2.213 0.000 0.000
Rh 2.213 2.213 2.213
```

Values from the calculation:
As for the formation energy: 3.7446 eV/atom. Its energy above the lowest structure with this stoichiometry is 1415 meV/atom. The density of states at the Fermi level comes out at 7.75 states/eV/cell. As for the total DFT energy (no corrections): -27.070 eV for the cell shown.

***

Which of these has the lowest total DFT energy (no corrections)? KRe3Rh

***

Which of these has the lowest density of states at the Fermi level? KReRh2

***

Which value of density of states at the Fermi level does entry 2 give? 4.19 states/eV/cell